# 1
The following is a GGA-PBE calculation of an optimized crystal structure of LaFeSe, from Alexandria via LeMat-Bulk.

## Properties
DOS at the Fermi energy, states/eV/f.u.: 8.5
Formation energy without anion corrections, eV/atom: -0.010

Lattice parameters (Å, degrees): 4.9750 4.9750 4.9750 60.00 60.00 60.00
Closest atoms and distances in Å follow each position.
Fractional coordinates of all 3 atoms:
1 La 0.7500 0.7500 0.7500  4 Se 3.05, 4 Fe 3.05
2 Fe 0.5000 0.5000 0.5000  4 La 3.05
3 Se 0.0000 0.0000 0.0000  4 La 3.05

---

# 2
The following is a GGA-PBE calculation of an optimized crystal structure of LaFe2Se, from Alexandria via LeMat-Bulk.

## Properties
DOS at the Fermi energy, states/eV/f.u.: 3.1
Formation energy without anion corrections, eV/atom: -0.189

Lattice parameters (Å, degrees): 5.6056 5.6056 5.6056 44.05 44.05 44.05
Closest atoms and distances in Å follow each position.
Fractional coordinates of all 4 atoms:
1 Se 0.7500 0.7500 0.7500  6 Fe 2.44
2 Fe 0.0657 0.0657 0.0657  3 Se 2.44, 3 Fe 2.49
3 Fe 0.4343 0.4343 0.4343  3 Se 2.44, 3 Fe 2.49
4 La 0.2500 0.2500 0.2500  2 Fe 2.79

---

# 3
The following is a GGA-PBE calculation of an optimized crystal structure of LaFe2Se, from Alexandria via LeMat-Bulk.

## Properties
DOS at the Fermi energy, states/eV/f.u.: 6.3
Formation energy without anion corrections, eV/atom: 0.104

Lattice parameters (Å, degrees): 5.6387 5.6387 5.6387 137.74 137.74 61.30
Closest atoms and distances in Å follow each position.
Fractional coordinates of all 4 atoms:
1 La 0.2500 0.7500 0.5000  4 Se 2.87, 8 Fe 3.16
2 Fe 0.0000 0.0000 0.0000  4 Fe 2.87, 4 La 3.16, 4 Se 3.16
3 Se 0.7500 0.2500 0.5000  4 La 2.87, 8 Fe 3.16
4 Fe 0.5000 0.5000 0.0000  4 Fe 2.87, 4 La 3.16, 4 Se 3.16

---

# 4
The following is a GGA-PBE calculation of an optimized crystal structure of LaFeSe, from Alexandria via LeMat-Bulk.

## Properties
DOS at the Fermi energy, states/eV/f.u.: 3.6
Formation energy without anion corrections, eV/atom: -0.475

Lattice parameters (Å, degrees): 4.4529 4.4529 4.4529 60.00 60.00 60.00
Closest atoms and distances in Å follow each position.
Fractional coordinates of all 3 atoms:
1 La 0.0000 0.0000 0.0000  4 Fe 2.73
2 Se 0.5000 0.5000 0.5000  4 Fe 2.73
3 Fe 0.7500 0.7500 0.7500  4 La 2.73, 4 Se 2.73

---

# 5
The following is a GGA-PBE calculation of an optimized crystal structure of LaFeSe4, from Alexandria via LeMat-Bulk.

## Properties
DOS at the Fermi energy, states/eV/f.u.: 10.2
Formation energy without anion corrections, eV/atom: 0.134

Lattice parameters (Å, degrees): 5.7837 5.7837 5.7837 60.00 60.00 60.00
Closest atoms and distances in Å follow each position.
Fractional coordinates of all 6 atoms:
1 Se 0.3758 0.3758 0.3758  6 Se 2.87-2.91
2 Se 0.3758 0.8726 0.3758  6 Se 2.87-2.91
3 Se 0.8726 0.3758 0.3758  6 Se 2.87-2.91
4 La 0.0000 0.0000 0.0000  12 Se 3.39, 4 Fe 3.54
5 Fe 0.7500 0.7500 0.7500  12 Se 3.39, 4 La 3.54
6 Se 0.3758 0.3758 0.8726  6 Se 2.87-2.91

---

# 6
The following is a GGA-PBE calculation of an optimized crystal structure of LaFeSe3, from Alexandria via LeMat-Bulk.

## Properties
DOS at the Fermi energy, states/eV/f.u.: 4.5
Formation energy without anion corrections, eV/atom: -0.864

Lattice parameters (Å, degrees): 4.8371 4.8371 4.8371 90.00 90.00 90.00
Closest atoms and distances in Å follow each position.
Fractional coordinates of all 5 atoms:
1 Se 0.5000 0.0000 0.0000  2 Fe 2.42
2 Fe 0.0000 0.0000 0.0000  6 Se 2.42
3 Se 0.0000 0.5000 0.0000  2 Fe 2.42
4 Se 0.0000 0.0000 0.5000  2 Fe 2.42
5 La 0.5000 0.5000 0.5000  12 Se 3.42

---

# 7
The following is a GGA-PBE calculation of an optimized crystal structure of LaFe2Se, from Alexandria via LeMat-Bulk.

## Properties
DOS at the Fermi energy, states/eV/f.u.: 4.2
Formation energy without anion corrections, eV/atom: 0.036

Lattice parameters (Å, degrees): 4.0964 4.0964 4.8407 90.00 90.00 90.00
Closest atoms and distances in Å follow each position.
Fractional coordinates of all 4 atoms:
1 Se 0.0000 0.5000 0.5000  4 La 2.90, 8 Fe 3.17
2 Fe 0.0000 0.0000 0.0000  4 Fe 2.90, 4 La 3.17, 4 Se 3.17
3 Fe 0.5000 0.5000 0.0000  4 Fe 2.90, 4 La 3.17, 4 Se 3.17
4 La 0.5000 0.0000 0.5000  4 Se 2.90, 8 Fe 3.17

---

# 8
The following is a GGA-PBE calculation of an optimized crystal structure of La4FeSe, from Alexandria via LeMat-Bulk.

## Properties
DOS at the Fermi energy, states/eV/f.u.: 8.0
Formation energy without anion corrections, eV/atom: 0.419

Lattice parameters (Å, degrees): 6.3269 6.3269 6.3269 60.00 60.00 60.00
Closest atoms and distances in Å follow each position.
Fractional coordinates of all 6 atoms:
1 La 0.3745 0.3745 0.3745  6 La 3.15-3.18
2 Se 0.7500 0.7500 0.7500  12 La 3.71, 4 Fe 3.87
3 La 0.3745 0.8764 0.3745  6 La 3.15-3.18
4 La 0.8764 0.3745 0.3745  6 La 3.15-3.18
5 La 0.3745 0.3745 0.8764  6 La 3.15-3.18
6 Fe 0.0000 0.0000 0.0000  12 La 3.71, 4 Se 3.87

---

# 9
The following is a GGA-PBE calculation of an optimized crystal structure of LaFe2Se, from Alexandria via LeMat-Bulk.

## Properties
DOS at the Fermi energy, states/eV/f.u.: 2.5
Formation energy without anion corrections, eV/atom: -0.399

Lattice parameters (Å, degrees): 4.0508 4.0508 5.7277 69.28 69.28 60.01
Closest atoms and distances in Å follow each position.
Fractional coordinates of all 4 atoms:
1 Se 0.2940 0.2940 0.1181  6 Fe 2.46-2.60
2 La 0.4968 0.4968 0.5095  7 Fe 3.10-3.37, 4 Se 3.11-3.18
3 Fe 0.0092 0.0092 0.9727  3 Fe 2.37, 3 Se 2.46
4 Fe 0.7000 0.7000 0.8998  3 Fe 2.37, 3 Se 2.60

---

# 10
The following is a GGA-PBE calculation of an optimized crystal structure of LaFeSe3, from Alexandria via LeMat-Bulk.

## Properties
DOS at the Fermi energy, states/eV/f.u.: 13.4
Formation energy without anion corrections, eV/atom: 0.281

Lattice parameters (Å, degrees): 5.7143 5.7143 5.7143 90.00 90.00 90.00
Closest atoms and distances in Å follow each position.
Fractional coordinates of all 5 atoms:
1 Se 0.0000 0.5000 0.0000  2 La 2.86
2 Fe 0.5000 0.5000 0.5000  12 Se 4.04
3 Se 0.5000 0.0000 0.0000  2 La 2.86
4 Se 0.0000 0.0000 0.5000  2 La 2.86
5 La 0.0000 0.0000 0.0000  6 Se 2.86

---

# 11
The following is a GGA-PBE calculation of an optimized crystal structure of LaFe2Se, from Alexandria via LeMat-Bulk.

## Properties
DOS at the Fermi energy, states/eV/f.u.: 5.1
Formation energy without anion corrections, eV/atom: -0.154

Lattice parameters (Å, degrees): 4.5818 4.5818 8.5903 74.53 74.53 90.00
Closest atoms and distances in Å follow each position.
Fractional coordinates of all 8 atoms:
1 Fe 0.3750 0.6249 0.7500  2 Fe 2.29, 2 Se 2.30
2 Fe 0.3749 0.6250 0.2500  2 Fe 2.29, 2 Se 2.30
3 Fe 0.8750 0.6251 0.7500  2 Fe 2.29, 2 Se 2.30
4 La 0.7500 0.2500 0.5000  4 Se 3.24, 8 Fe 3.24
5 Se 0.5000 0.5000 0.0000  4 Fe 2.30
6 Se 0.2500 0.7500 0.5000  4 Fe 2.30
7 Fe 0.3751 0.1250 0.2500  2 Fe 2.29, 2 Se 2.30
8 La 0.0000 0.0000 0.0000  4 Se 3.24, 8 Fe 3.24

---

# 12
The following is a GGA-PBE calculation of an optimized crystal structure of LaFe2Se, from Alexandria via LeMat-Bulk.

## Properties
DOS at the Fermi energy, states/eV/f.u.: 2.6
Formation energy without anion corrections, eV/atom: 0.102

Lattice parameters (Å, degrees): 4.8014 4.8014 4.8014 60.00 60.00 60.00
Closest atoms and distances in Å follow each position.
Fractional coordinates of all 4 atoms:
1 Fe 0.0000 0.0000 0.0000  4 Se 2.94, 4 Fe 2.94
2 Fe 0.7500 0.7500 0.7500  4 La 2.94, 4 Fe 2.94
3 Se 0.2500 0.2500 0.2500  4 La 2.94, 4 Fe 2.94
4 La 0.5000 0.5000 0.5000  4 Fe 2.94, 4 Se 2.94